{
  "formula": "MnBeN2F",
  "functional": "GGA+U",
  "state": "relaxed",
  "lattice_angstrom": [[-2.496, -1.527, 2.454], [-0.822, -2.733, -2.537], [2.738, -2.161, 1.440]],
  "species": ["F", "Be", "N", "N", "Mn"],
  "frac_coords": [[0.000, 0.000, 0.500], [0.500, 0.500, 0.500], [0.000, 0.500, 0.000], [0.500, 0.000, 0.000], [0.000, 0.000, 0.000]],
  "e_tot_ev_per_cell": -26.549
}